1.
Cs2NaLiAg | GGA-PBE | optimized geometry

## Properties
Formation energy from the elements   0.516 eV/f.u.
V   284.7 Å³/f.u.

```
data_Cs2NaLiAg
_chemical_formula_sum 'Cs2 Na1 Li1 Ag1'
_cell_length_a 7.2719
_cell_length_b 7.2719
_cell_length_c 5.3838
_cell_angle_alpha 90.00
_cell_angle_beta 90.00
_cell_angle_gamma 90.00
_space_group_name_H-M_alt 'P 4/m m m'
_space_group_IT_number 123
_space_group_name_Hall '-P 4 2'
loop_
_atom_site_label
_atom_site_type_symbol
_atom_site_fract_x
_atom_site_fract_y
_atom_site_fract_z
Cs1 Cs 0.0000 0.5000 0.0000
Na1 Na 0.0000 0.0000 0.5000
Li1 Li 0.5000 0.5000 0.5000
Ag1 Ag 0.5000 0.5000 0.0000
```


2.
MnCdP2 | GGA-PBE | optimized geometry

## Properties
Formation energy from the elements   1.384 eV/f.u.
V   69.0 Å³/f.u.

```
data_MnCdP2
_chemical_formula_sum 'Mn2 Cd2 P4'
_cell_length_a 5.5574
_cell_length_b 7.0272
_cell_length_c 3.6306
_cell_angle_alpha 90.00
_cell_angle_beta 103.31
_cell_angle_gamma 90.00
_space_group_name_H-M_alt 'C 1 2/m 1'
_space_group_IT_number 12
loop_
_space_group_symop_operation_xyz
'x,y,z'
'-x,-y,-z'
'-x,y,-z'
'x,-y,z'
'x+1/2,y+1/2,z'
'-x+1/2,-y+1/2,-z'
'-x+1/2,y+1/2,-z'
'x+1/2,-y+1/2,z'
loop_
_atom_site_label
_atom_site_type_symbol
_atom_site_fract_x
_atom_site_fract_y
_atom_site_fract_z
Mn1 Mn 0.0000 0.0000 0.0000
Cd1 Cd 0.0000 0.5000 0.0000
P1 P 0.2500 0.2500 0.5000
```


3.
BaHoSb2 | GGA-PBE | optimized geometry

## Properties
Excess energy over the best structure of this formula in the dataset   0.034 eV per atom
V   145.1 Å³/f.u.

```
data_BaHoSb2
_chemical_formula_sum 'Ba3 Ho3 Sb6'
_cell_length_a 4.5105
_cell_length_b 4.5105
_cell_length_c 24.7072
_cell_angle_alpha 90.00
_cell_angle_beta 90.00
_cell_angle_gamma 120.00
_space_group_name_H-M_alt 'R 3 m'
_space_group_IT_number 160
_space_group_name_Hall 'R 3 -2"'
loop_
_atom_site_label
_atom_site_type_symbol
_atom_site_fract_x
_atom_site_fract_y
_atom_site_fract_z
Ba1 Ba 0.0000 0.0000 0.0000
Ho1 Ho 0.0000 0.0000 0.1712
Sb1 Sb 0.0000 0.0000 0.5725
Sb2 Sb 0.0000 0.0000 0.7662
```


4.
LiZr3As | GGA-PBE | optimized geometry

## Properties
Excess energy over the best structure of this formula in the dataset   0.000 eV per atom
Formation energy from the elements   0.678 eV/f.u.
V   130.2 Å³/f.u.

```
data_LiZr3As
_chemical_formula_sum 'Li1 Zr3 As1'
_cell_length_a 5.0686
_cell_length_b 5.0686
_cell_length_c 5.0686
_cell_angle_alpha 90.00
_cell_angle_beta 90.00
_cell_angle_gamma 90.00
_space_group_name_H-M_alt 'P m -3 m'
_space_group_IT_number 221
_space_group_name_Hall '-P 4 2 3'
loop_
_atom_site_label
_atom_site_type_symbol
_atom_site_fract_x
_atom_site_fract_y
_atom_site_fract_z
Li1 Li 0.0000 0.0000 0.0000
Zr1 Zr 0.0000 0.5000 0.5000
As1 As 0.5000 0.5000 0.5000
```


5.
LiSi4Hg | GGA-PBE | optimized geometry

## Properties
Total energy   -3.691 eV per atom
V   102.9 Å³/f.u.

```
data_LiSi4Hg
_chemical_formula_sum 'Li4 Si16 Hg4'
_cell_length_a 7.4381
_cell_length_b 7.4381
_cell_length_c 7.4381
_cell_angle_alpha 90.00
_cell_angle_beta 90.00
_cell_angle_gamma 90.00
_space_group_name_H-M_alt 'F -4 3 m'
_space_group_IT_number 216
_space_group_name_Hall 'F -4 2 3'
loop_
_atom_site_label
_atom_site_type_symbol
_atom_site_fract_x
_atom_site_fract_y
_atom_site_fract_z
Li1 Li 0.0000 0.0000 0.0000
Si1 Si 0.1258 0.1258 0.6258
Hg1 Hg 0.2500 0.2500 0.2500
```


6.
MgCuBr2 | GGA-PBE | optimized geometry

## Properties
Excess energy over the best structure of this formula in the dataset   0.332 eV per atom
V   84.4 Å³/f.u.

```
data_MgCuBr2
_chemical_formula_sum 'Mg4 Cu4 Br8'
_cell_length_a 6.9625
_cell_length_b 6.9625
_cell_length_c 6.9625
_cell_angle_alpha 90.00
_cell_angle_beta 90.00
_cell_angle_gamma 90.00
_space_group_name_H-M_alt 'F m -3 m'
_space_group_IT_number 225
_space_group_name_Hall '-F 4 2 3'
loop_
_atom_site_label
_atom_site_type_symbol
_atom_site_fract_x
_atom_site_fract_y
_atom_site_fract_z
Mg1 Mg 0.0000 0.0000 0.0000
Cu1 Cu 0.0000 0.0000 0.5000
Br1 Br 0.2500 0.2500 0.2500
```


7.
Pm6IrRh2Cl3 | GGA-PBE | optimized geometry

## Properties
Total energy   -5.991 eV per atom
V   324.3 Å³/f.u.

```
data_Pm6IrRh2Cl3
_chemical_formula_sum 'Pm12 Ir2 Rh4 Cl6'
_cell_length_a 7.0529
_cell_length_b 12.2184
_cell_length_c 7.8858
_cell_angle_alpha 90.00
_cell_angle_beta 107.35
_cell_angle_gamma 90.00
_space_group_name_H-M_alt 'C 1 2/m 1'
_space_group_IT_number 12
loop_
_space_group_symop_operation_xyz
'x,y,z'
'-x,-y,-z'
'-x,y,-z'
'x,-y,z'
'x+1/2,y+1/2,z'
'-x+1/2,-y+1/2,-z'
'-x+1/2,y+1/2,-z'
'x+1/2,-y+1/2,z'
loop_
_atom_site_label
_atom_site_type_symbol
_atom_site_fract_x
_atom_site_fract_y
_atom_site_fract_z
Pm1 Pm 0.2344 0.1664 0.2042
Pm2 Pm 0.2352 0.5000 0.2043
Ir1 Ir 0.0000 0.0000 0.0000
Rh1 Rh 0.0000 0.3333 0.0000
Cl1 Cl 0.0000 0.1668 0.5000
Cl2 Cl 0.0000 0.5000 0.5000
```


8.
Co4I | GGA-PBE | optimized geometry

## Properties
Total energy   -4.273 eV per atom
V   94.6 Å³/f.u.

```
data_Co4I
_chemical_formula_sum 'Co4 I1'
_cell_length_a 4.5563
_cell_length_b 4.5563
_cell_length_c 4.5563
_cell_angle_alpha 90.00
_cell_angle_beta 90.00
_cell_angle_gamma 90.00
_space_group_name_H-M_alt 'P m -3 m'
_space_group_IT_number 221
_space_group_name_Hall '-P 4 2 3'
loop_
_atom_site_label
_atom_site_type_symbol
_atom_site_fract_x
_atom_site_fract_y
_atom_site_fract_z
Co1 Co 0.0000 0.0000 0.0000
Co2 Co 0.0000 0.5000 0.5000
I1 I 0.5000 0.5000 0.5000
```


9.
Sr2HfNpP4 | GGA-PBE | optimized geometry

## Properties
Formation energy from the elements   -8.533 eV/f.u.
V   191.7 Å³/f.u.

```
data_Sr2HfNpP4
_chemical_formula_sum 'Sr2 Hf1 Np1 P4'
_cell_length_a 6.9219
_cell_length_b 4.0226
_cell_length_c 7.2592
_cell_angle_alpha 90.00
_cell_angle_beta 108.49
_cell_angle_gamma 90.00
_space_group_name_H-M_alt 'P 1 2/m 1'
_space_group_IT_number 10
loop_
_space_group_symop_operation_xyz
'x,y,z'
'-x,-y,-z'
'-x,y,-z'
'x,-y,z'
loop_
_atom_site_label
_atom_site_type_symbol
_atom_site_fract_x
_atom_site_fract_y
_atom_site_fract_z
Sr1 Sr 0.0000 0.0000 0.0000
Sr2 Sr 0.5000 0.5000 0.0000
Hf1 Hf 0.0000 0.5000 0.5000
Np1 Np 0.5000 0.0000 0.5000
P1 P 0.2297 0.0000 0.7083
P2 P 0.2553 0.5000 0.2907
```


10.
Pr2Tm3Ag2 | GGA-PBE | optimized geometry

## Properties
Formation energy from the elements   -0.614 eV/f.u.
V   202.9 Å³/f.u.

```
data_Pr2Tm3Ag2
_chemical_formula_sum 'Pr4 Tm6 Ag4'
_cell_length_a 10.9244
_cell_length_b 5.0045
_cell_length_c 8.1649
_cell_angle_alpha 90.00
_cell_angle_beta 114.65
_cell_angle_gamma 90.00
_space_group_name_H-M_alt 'C 1 2/m 1'
_space_group_IT_number 12
loop_
_space_group_symop_operation_xyz
'x,y,z'
'-x,-y,-z'
'-x,y,-z'
'x,-y,z'
'x+1/2,y+1/2,z'
'-x+1/2,-y+1/2,-z'
'-x+1/2,y+1/2,-z'
'x+1/2,-y+1/2,z'
loop_
_atom_site_label
_atom_site_type_symbol
_atom_site_fract_x
_atom_site_fract_y
_atom_site_fract_z
Pr1 Pr 0.1254 0.0000 0.2676
Tm1 Tm 0.0000 0.5000 0.5000
Tm2 Tm 0.1371 0.5000 0.9559
Ag1 Ag 0.1511 0.0000 0.6833
```


11.
TiCu3Te | GGA-PBE | optimized geometry

## Properties
Excess energy over the best structure of this formula in the dataset   0.000 eV per atom
V   107.9 Å³/f.u.

```
data_TiCu3Te
_chemical_formula_sum 'Ti1 Cu3 Te1'
_cell_length_a 4.7610
_cell_length_b 4.7610
_cell_length_c 4.7610
_cell_angle_alpha 90.00
_cell_angle_beta 90.00
_cell_angle_gamma 90.00
_space_group_name_H-M_alt 'P m -3 m'
_space_group_IT_number 221
_space_group_name_Hall '-P 4 2 3'
loop_
_atom_site_label
_atom_site_type_symbol
_atom_site_fract_x
_atom_site_fract_y
_atom_site_fract_z
Ti1 Ti 0.0000 0.0000 0.0000
Cu1 Cu 0.0000 0.5000 0.5000
Te1 Te 0.5000 0.5000 0.5000
```


12.
YCuTe2I | GGA-PBE | optimized geometry

## Properties
Excess energy over the best structure of this formula in the dataset   0.234 eV per atom
V   205.8 Å³/f.u.

```
data_YCuTe2I
_chemical_formula_sum 'Y1 Cu1 Te2 I1'
_cell_length_a 5.8959
_cell_length_b 5.8959
_cell_length_c 5.9196
_cell_angle_alpha 90.00
_cell_angle_beta 90.00
_cell_angle_gamma 90.00
_space_group_name_H-M_alt 'P 4/m m m'
_space_group_IT_number 123
_space_group_name_Hall '-P 4 2'
loop_
_atom_site_label
_atom_site_type_symbol
_atom_site_fract_x
_atom_site_fract_y
_atom_site_fract_z
Y1 Y 0.0000 0.0000 0.0000
Cu1 Cu 0.5000 0.5000 0.5000
Te1 Te 0.0000 0.5000 0.0000
I1 I 0.0000 0.0000 0.5000
```


13.
Rb2CaGe2 | GGA-PBE | optimized geometry

## Properties
Excess energy over the best structure of this formula in the dataset   0.000 eV per atom
Formation energy from the elements   -0.098 eV/f.u.
V   190.4 Å³/f.u.

```
data_Rb2CaGe2
_chemical_formula_sum 'Rb4 Ca2 Ge4'
_cell_length_a 8.0282
_cell_length_b 8.0282
_cell_length_c 5.9090
_cell_angle_alpha 90.00
_cell_angle_beta 90.00
_cell_angle_gamma 90.00
_space_group_name_H-M_alt 'P 4/m b m'
_space_group_IT_number 127
_space_group_name_Hall '-P 4 2ab'
loop_
_atom_site_label
_atom_site_type_symbol
_atom_site_fract_x
_atom_site_fract_y
_atom_site_fract_z
Rb1 Rb 0.1821 0.3179 0.0000
Ca1 Ca 0.0000 0.0000 0.5000
Ge1 Ge 0.1048 0.6048 0.5000
```


14.
Ru3Rh | GGA-PBE | optimized geometry

## Properties
Formation energy from the elements   0.046 eV/f.u.
V   55.8 Å³/f.u.

```
data_Ru3Rh
_chemical_formula_sum 'Ru3 Rh1'
_cell_length_a 2.7308
_cell_length_b 4.3157
_cell_length_c 4.7352
_cell_angle_alpha 90.00
_cell_angle_beta 90.00
_cell_angle_gamma 90.00
_space_group_name_H-M_alt 'P m m 2'
_space_group_IT_number 25
loop_
_space_group_symop_operation_xyz
'x,y,z'
'-x,-y,z'
'-x,y,z'
'x,-y,z'
loop_
_atom_site_label
_atom_site_type_symbol
_atom_site_fract_x
_atom_site_fract_y
_atom_site_fract_z
Ru1 Ru 0.0000 0.0000 0.0000
Ru2 Ru 0.0000 0.5000 0.3313
Ru3 Ru 0.5000 0.5000 0.8332
Rh1 Rh 0.5000 0.0000 0.4996
```


15.
LiCa4In2Ag | GGA-PBE | optimized geometry

## Properties
Formation energy from the elements   -2.762 eV/f.u.
V   224.7 Å³/f.u.

```
data_LiCa4In2Ag
_chemical_formula_sum 'Li3 Ca12 In6 Ag3'
_cell_length_a 5.4137
_cell_length_b 5.4137
_cell_length_c 26.5625
_cell_angle_alpha 90.00
_cell_angle_beta 90.00
_cell_angle_gamma 120.00
_space_group_name_H-M_alt 'R -3 m'
_space_group_IT_number 166
_space_group_name_Hall '-R 3 2"'
loop_
_atom_site_label
_atom_site_type_symbol
_atom_site_fract_x
_atom_site_fract_y
_atom_site_fract_z
Li1 Li 0.0000 0.0000 0.0000
Ca1 Ca 0.0000 0.0000 0.1285
Ca2 Ca 0.0000 0.0000 0.3790
In1 In 0.0000 0.0000 0.2544
Ag1 Ag 0.0000 0.0000 0.5000
```


16.
Pm2PAu | GGA-PBE | optimized geometry

## Properties
Excess energy over the best structure of this formula in the dataset   0.138 eV per atom
Formation energy from the elements   -3.837 eV/f.u.
V   94.4 Å³/f.u.

```
data_Pm2PAu
_chemical_formula_sum 'Pm2 P1 Au1'
_cell_length_a 3.6600
_cell_length_b 3.6600
_cell_length_c 7.0493
_cell_angle_alpha 90.00
_cell_angle_beta 90.00
_cell_angle_gamma 90.00
_space_group_name_H-M_alt 'P 4/m m m'
_space_group_IT_number 123
_space_group_name_Hall '-P 4 2'
loop_
_atom_site_label
_atom_site_type_symbol
_atom_site_fract_x
_atom_site_fract_y
_atom_site_fract_z
Pm1 Pm 0.0000 0.0000 0.2318
P1 P 0.5000 0.5000 0.0000
Au1 Au 0.5000 0.5000 0.5000
```


17.
PmNdSm2 | GGA-PBE | optimized geometry

## Properties
Excess energy over the best structure of this formula in the dataset   0.015 eV per atom
Formation energy from the elements   0.050 eV/f.u.
V   137.6 Å³/f.u.

```
data_PmNdSm2
_chemical_formula_sum 'Pm3 Nd3 Sm6'
_cell_length_a 3.6646
_cell_length_b 3.6646
_cell_length_c 35.4860
_cell_angle_alpha 90.00
_cell_angle_beta 90.00
_cell_angle_gamma 120.00
_space_group_name_H-M_alt 'R 3 m'
_space_group_IT_number 160
_space_group_name_Hall 'R 3 -2"'
loop_
_atom_site_label
_atom_site_type_symbol
_atom_site_fract_x
_atom_site_fract_y
_atom_site_fract_z
Pm1 Pm 0.0000 0.0000 0.0000
Nd1 Nd 0.0000 0.0000 0.8333
Sm1 Sm 0.0000 0.0000 0.2505
Sm2 Sm 0.0000 0.0000 0.4169
```


18.
BAsCl3 | GGA-PBE | optimized geometry

## Properties
Excess energy over the best structure of this formula in the dataset   0.000 eV per atom
V   87.4 Å³/f.u.

```
data_BAsCl3
_chemical_formula_sum 'B1 As1 Cl3'
_cell_length_a 4.4378
_cell_length_b 4.4378
_cell_length_c 4.4378
_cell_angle_alpha 90.00
_cell_angle_beta 90.00
_cell_angle_gamma 90.00
_space_group_name_H-M_alt 'P m -3 m'
_space_group_IT_number 221
_space_group_name_Hall '-P 4 2 3'
loop_
_atom_site_label
_atom_site_type_symbol
_atom_site_fract_x
_atom_site_fract_y
_atom_site_fract_z
B1 B 0.0000 0.0000 0.0000
As1 As 0.5000 0.5000 0.5000
Cl1 Cl 0.0000 0.0000 0.5000
```


19.
CeGaFe | GGA-PBE | optimized geometry

## Properties
Formation energy from the elements   -0.606 eV/f.u.
V   59.1 Å³/f.u.

```
data_CeGaFe
_chemical_formula_sum 'Ce1 Ga1 Fe1'
_cell_length_a 4.2997
_cell_length_b 4.2997
_cell_length_c 3.6921
_cell_angle_alpha 90.00
_cell_angle_beta 90.00
_cell_angle_gamma 120.00
_space_group_name_H-M_alt 'P -6 m 2'
_space_group_IT_number 187
_space_group_name_Hall 'P -6 2'
loop_
_atom_site_label
_atom_site_type_symbol
_atom_site_fract_x
_atom_site_fract_y
_atom_site_fract_z
Ce1 Ce 0.0000 0.0000 0.0000
Ga1 Ga 0.3333 0.6667 0.5000
Fe1 Fe 0.6667 0.3333 0.5000
```


20.
Co2Cu2Bi | GGA-PBE | optimized geometry

## Properties
Excess energy over the best structure of this formula in the dataset   0.036 eV per atom
Formation energy from the elements   2.284 eV/f.u.
V   76.1 Å³/f.u.

```
data_Co2Cu2Bi
_chemical_formula_sum 'Co4 Cu4 Bi2'
_cell_length_a 3.6534
_cell_length_b 3.6534
_cell_length_c 11.4078
_cell_angle_alpha 90.00
_cell_angle_beta 90.00
_cell_angle_gamma 90.00
_space_group_name_H-M_alt 'I 4/m m m'
_space_group_IT_number 139
_space_group_name_Hall '-I 4 2'
loop_
_atom_site_label
_atom_site_type_symbol
_atom_site_fract_x
_atom_site_fract_y
_atom_site_fract_z
Co1 Co 0.0000 0.0000 0.1029
Cu1 Cu 0.0000 0.5000 0.2500
Bi1 Bi 0.0000 0.0000 0.5000
```